Sc5Tl3: optimized geometry, GGA-PBE.

The structure in extended XYZ format:
```
16
Lattice="8.529 0.000 0.000 -4.265 7.387 0.000 0.000 0.000 6.142" Properties=species:S:1:pos:R:3 pbc="T T T"
Sc -0.993 1.721 1.535
Sc -3.271 5.666 4.606
Sc 1.987 0.000 1.535
Sc 0.993 1.721 4.606
Sc 0.000 4.924 0.000
Sc 0.000 4.924 3.071
Sc 4.265 2.462 0.000
Sc 4.265 2.462 3.071
Sc 6.542 0.000 4.606
Sc 3.271 5.666 1.535
Tl -1.706 2.954 4.606
Tl -2.559 4.432 1.535
Tl 3.411 0.000 4.606
Tl 1.706 2.954 1.535
Tl 5.118 0.000 1.535
Tl 2.559 4.432 4.606
```

Summary:
**ΔE to the lowest computed polymorph**: 0 meV/atom
**Energy of formation**: -270 meV per atom
**SG**: P6_3/mcm, No. 193
**Crystal system**: hexagonal